No. 1
## Mg2CoP (GGA-PBEsol)

Data for Mg2CoP after structural relaxation.

## Properties
For the calculated volume, the calculation gives 15.47 Å³/atom. As for the formation energy: -247 meV/atom. The calculation puts the total DFT energy (no corrections) at -17.95 eV per cell. As for the space-group type: P4mm.

Structure (POSCAR):
```
Mg2CoP
1.0
2.959 0.000 0.000
0.000 2.959 0.000
0.000 0.000 7.070
Co P Mg
1 1 2
Cartesian
1.479 1.479 4.856 Co
0.000 0.000 3.985 P
0.000 0.000 6.740 Mg
1.479 1.479 2.094 Mg
```

No. 2
## Mg2Co2P (GGA-PBEsol)

Data for Mg2Co2P after structural relaxation.

## Properties
For the calculated volume, the calculation gives 13.57 Å³/atom. As for the formation energy: -314 meV/atom. The calculation puts the total DFT energy (no corrections) at -52.54 eV per cell. As for the space-group type: P4/mbm.

Structure (POSCAR):
```
Mg2Co2P
1.0
-1.558 0.753 3.845
3.996 -3.324 2.270
3.437 4.482 0.515
Mg Co P
4 4 2
Cartesian
4.749 1.882 3.868 Mg
2.191 2.812 2.649 Mg
1.124 0.029 2.762 Mg
3.683 -0.902 3.981 Mg
3.111 -1.489 1.552 Co
5.630 0.086 2.265 Co
4.321 2.647 1.233 Co
1.802 1.072 0.521 Co
3.716 0.579 1.393 P
0.000 0.000 0.000 P
```

No. 3
## MgCo2P (GGA-PBEsol)

Data for MgCo2P after structural relaxation.

## Properties
For the calculated volume, the calculation gives 11.89 Å³/atom. As for the formation energy: -159 meV/atom. The calculation puts the total DFT energy (no corrections) at -23.62 eV per cell. As for the space-group type: Imm2.

Structure (POSCAR):
```
MgCo2P
1.0
2.847 0.000 0.000
0.000 3.809 0.000
-1.423 -1.905 4.384
Co Mg P
2 1 1
Cartesian
1.423 0.000 2.097 Co
1.423 1.905 4.050 Co
1.423 1.905 0.166 Mg
0.000 1.905 2.455 P
```

No. 4
## MgCo2P (GGA-PBEsol)

Data for MgCo2P after structural relaxation.

## Properties
For the calculated volume, the calculation gives 12.48 Å³/atom. As for the formation energy: -132 meV/atom. The calculation puts the total DFT energy (no corrections) at -23.51 eV per cell. As for the space-group type: Pmm2.

Structure (POSCAR):
```
MgCo2P
1.0
2.805 0.000 0.000
0.000 3.168 0.000
0.000 0.000 5.617
Co Mg P
2 1 1
Cartesian
1.403 1.584 1.209 Co
0.000 0.000 5.455 Co
0.000 0.000 2.758 Mg
1.403 1.584 4.620 P
```

No. 5
## Mg2CoPb2 (GGA-PBEsol)

Data for Mg2CoPb2 after structural relaxation.

## Properties
For the calculated volume, the calculation gives 25.96 Å³/atom. As for the formation energy: 770 meV/atom. The calculation puts the total DFT energy (no corrections) at -15.32 eV per cell. As for the space-group type: I4/mmm.

Structure (POSCAR):
```
Mg2CoPb2
1.0
4.233 0.000 0.000
0.000 4.233 0.000
-2.117 -2.117 7.242
Mg Pb Co
2 2 1
Cartesian
0.000 0.000 5.897 Mg
2.117 2.117 1.345 Mg
0.000 2.117 3.621 Pb
2.117 0.000 3.621 Pb
0.000 0.000 0.000 Co
```

No. 6
## Mg2ScCoPb (GGA-PBEsol)

Data for Mg2ScCoPb after structural relaxation.

## Properties
For the calculated volume, the calculation gives 21.63 Å³/atom. As for the formation energy: 33 meV/atom. The calculation puts the total DFT energy (no corrections) at -21.61 eV per cell. As for the space-group type: P4/mmm.

Structure (POSCAR):
```
Mg2ScCoPb
1.0
-4.084 -1.965 0.595
1.963 -4.356 -0.913
0.959 -0.560 4.736
Sc Mg Co Pb
1 2 1 1
Cartesian
-2.042 -0.983 0.297 Sc
0.480 -0.280 2.368 Mg
0.982 -2.178 -0.456 Mg
0.000 0.000 0.000 Co
-0.581 -3.441 2.209 Pb
```

No. 7
## MgCo3Pd (GGA-PBEsol)

Data for MgCo3Pd after structural relaxation.

## Properties
For the calculated volume, the calculation gives 14.79 Å³/atom. As for the formation energy: 1590 meV/atom. The calculation puts the total DFT energy (no corrections) at -22.94 eV per cell. As for the space-group type: Pm-3m.

Structure (POSCAR):
```
MgCo3Pd
1.0
-3.849 0.172 1.666
1.627 -0.608 3.821
0.398 4.150 0.491
Pd Co Mg
1 3 1
Cartesian
-0.912 1.857 2.989 Pd
0.199 2.075 0.245 Co
0.814 -0.304 1.911 Co
-1.924 0.086 0.833 Co
0.000 0.000 0.000 Mg
```

No. 8
## Mg3CoPt (GGA-PBEsol)

Data for Mg3CoPt after structural relaxation.

## Properties
For the calculated volume, the calculation gives 18.70 Å³/atom. As for the formation energy: 510 meV/atom. The calculation puts the total DFT energy (no corrections) at -17.30 eV per cell. As for the space-group type: Pm-3m.

Structure (POSCAR):
```
Mg3CoPt
1.0
-0.830 -3.867 2.227
-0.718 -2.120 -3.949
4.404 -1.074 -0.224
Mg Co Pt
3 1 1
Cartesian
2.202 -0.537 -0.112 Mg
-0.415 -1.933 1.113 Mg
-0.359 -1.060 -1.974 Mg
0.000 0.000 0.000 Co
1.428 -3.530 -0.973 Pt
```